[1]
The following is a DFT calculation (GGA-PBE) of crystalline PmThSb at its relaxed geometry.

## Properties
Raw formation energy: -0.702 eV/f.u.
Space-group type: No. 156
Energy above the lowest structure with this stoichiometry: 13.02 kcal/mol of atoms

Cell: 3.7212 5.3894 5.3894 Å, 120.00 90.00 90.00°
Element x y z (fractional)
Th (0.5980, 0.3333, 0.6667)
Sb (0.3216, 0.6667, 0.3333)
Pm (0.0805, 0.0000, 0.0000)

=====

[2]
The following is a DFT calculation (GGA-PBE) of crystalline ZrPaCo2P2 at its relaxed geometry.

## Properties
Space-group type: No. 164
ΔH_f (0 K): -1.104 eV per atom

Cell: 3.8162 3.8162 7.4403 Å, 90.00 90.00 120.00°
Element x y z (fractional)
P (0.6667, 0.3333, 0.7242)
Co (0.3333, 0.6667, 0.7681)
P (0.3333, 0.6667, 0.2758)
Pa (0.0000, 0.0000, 0.0000)
Zr (0.0000, 0.0000, 0.5000)
Co (0.6667, 0.3333, 0.2319)

=====

[3]
The following is a DFT calculation (GGA-PBE) of crystalline CrTcIr2 at its relaxed geometry.

## Properties
Space-group type: No. 99
Energy above the lowest structure with this stoichiometry: 10.55 kcal/mol of atoms
ΔH_f (0 K): 0.199 eV per atom

Cell: 3.1666 3.1666 5.6886 Å, 90.00 90.00 90.00°
Element x y z (fractional)
Ir (0.0000, 0.0000, 0.9663)
Ir (0.5000, 0.5000, 0.2455)
Cr (0.5000, 0.5000, 0.7759)
Tc (0.0000, 0.0000, 0.5123)

=====

no.,Fermi-level density of states (states/eV/atom)
1,1.338
2,0.663
3,1.317